Record 1
A plane-wave DFT calculation with PBE-GGA was carried out for a relaxed MnSiIr2Br crystal.

Properties
The value obtained for the density of states at the Fermi level is 7.80 states/eV/cell. As for the total energy: -22.8 eV per formula unit.

Geometry as CIF:
```
data_MnSiIr2Br
_symmetry_space_group_name_H-M 'P 1'
_symmetry_Int_Tables_number 1
_symmetry_space_group_name_Hall 'P 1'
_cell_length_a 4.606
_cell_length_b 4.606
_cell_length_c 4.740
_cell_angle_alpha 90.00
_cell_angle_beta 90.00
_cell_angle_gamma 90.00
loop_
_atom_site_label
_atom_site_fract_x
_atom_site_fract_y
_atom_site_fract_z
Mn1 0.000 0.000 0.000
Si1 0.500 0.500 0.000
Ir1 0.000 0.500 0.500
Ir2 0.500 0.000 0.500
Br1 0.500 0.500 0.500
```

***

Record 2
A plane-wave DFT calculation with PBE-GGA was carried out for a relaxed La2AgRh crystal.

Properties
The formation energy is -11.38 kcal/mol of atoms. The value obtained for the density of states at the Fermi level is 6.43 states/eV/cell.

Geometry as CIF:
```
data_La2AgRh
_symmetry_space_group_name_H-M 'P 1'
_symmetry_Int_Tables_number 1
_symmetry_space_group_name_Hall 'P 1'
_cell_length_a 4.609
_cell_length_b 4.148
_cell_length_c 11.041
_cell_angle_alpha 90.00
_cell_angle_beta 90.00
_cell_angle_gamma 90.00
loop_
_atom_site_label
_atom_site_fract_x
_atom_site_fract_y
_atom_site_fract_z
La1 0.000 0.000 0.000
La2 0.000 0.500 0.500
La3 0.500 0.000 0.285
La4 0.500 0.500 0.785
Ag1 0.000 0.000 0.711
Ag2 0.000 0.500 0.211
Rh1 0.500 0.000 0.529
Rh2 0.500 0.500 0.029
```

***

Record 3
A plane-wave DFT calculation with PBE-GGA was carried out for a relaxed AlRe3Ag crystal.

Properties
Its energy relative to the lowest polymorph listed for this composition is 1074 meV/atom. The formation energy is 68.84 kcal/mol of atoms. The value obtained for the density of states at the Fermi level is 8.70 states/eV/cell.

Geometry as CIF:
```
data_AlRe3Ag
_symmetry_space_group_name_H-M 'P 1'
_symmetry_Int_Tables_number 1
_symmetry_space_group_name_Hall 'P 1'
_cell_length_a 4.754
_cell_length_b 4.754
_cell_length_c 4.754
_cell_angle_alpha 90.00
_cell_angle_beta 90.00
_cell_angle_gamma 90.00
loop_
_atom_site_label
_atom_site_fract_x
_atom_site_fract_y
_atom_site_fract_z
Al1 0.000 0.000 0.000
Re1 0.000 0.500 0.500
Re2 0.500 0.000 0.500
Re3 0.500 0.500 0.000
Ag1 0.500 0.500 0.500
```

***

Record 4
A plane-wave DFT calculation with PBE-GGA was carried out for a relaxed NaS2O6F2 crystal.

Properties
The value obtained for the density of states at the Fermi level is 5.49 states/eV/cell. As for the total energy: -59.2 eV per formula unit.

Geometry as CIF:
```
data_NaS2O6F2
_symmetry_space_group_name_H-M 'P 1'
_symmetry_Int_Tables_number 1
_symmetry_space_group_name_Hall 'P 1'
_cell_length_a 6.100
_cell_length_b 6.100
_cell_length_c 5.397
_cell_angle_alpha 90.00
_cell_angle_beta 90.00
_cell_angle_gamma 120.00
loop_
_atom_site_label
_atom_site_fract_x
_atom_site_fract_y
_atom_site_fract_z
Na1 0.000 0.000 0.000
S1 0.333 0.667 0.724
S2 0.667 0.333 0.276
O1 0.200 0.400 0.788
O2 0.200 0.800 0.788
O3 0.400 0.200 0.212
O4 0.600 0.800 0.788
O5 0.800 0.200 0.212
O6 0.800 0.600 0.212
F1 0.333 0.667 0.428
F2 0.667 0.333 0.572
```

***

Record 5
A plane-wave DFT calculation with PBE-GGA was carried out for a relaxed LaHo2Cd crystal.

Properties
Its energy relative to the lowest polymorph listed for this composition is 0 meV/atom. The formation energy is -3.36 kcal/mol of atoms. The value obtained for the density of states at the Fermi level is 9.72 states/eV/cell.

Geometry as CIF:
```
data_LaHo2Cd
_symmetry_space_group_name_H-M 'P 1'
_symmetry_Int_Tables_number 1
_symmetry_space_group_name_Hall 'P 1'
_cell_length_a 3.796
_cell_length_b 5.609
_cell_length_c 11.523
_cell_angle_alpha 90.00
_cell_angle_beta 90.00
_cell_angle_gamma 90.00
loop_
_atom_site_label
_atom_site_fract_x
_atom_site_fract_y
_atom_site_fract_z
La1 0.000 0.000 0.000
La2 0.500 0.500 0.500
Ho1 0.000 0.500 0.223
Ho2 0.000 0.500 0.777
Ho3 0.500 0.000 0.277
Ho4 0.500 0.000 0.723
Cd1 0.000 0.000 0.500
Cd2 0.500 0.500 0.000
```

***

Record 6
A plane-wave DFT calculation with PBE-GGA was carried out for a relaxed La3GaO crystal.

Properties
The value obtained for the density of states at the Fermi level is 11.83 states/eV/cell. As for the total energy: -28.8 eV per formula unit.

Geometry as CIF:
```
data_La3GaO
_symmetry_space_group_name_H-M 'P 1'
_symmetry_Int_Tables_number 1
_symmetry_space_group_name_Hall 'P 1'
_cell_length_a 10.384
_cell_length_b 10.384
_cell_length_c 7.164
_cell_angle_alpha 100.87
_cell_angle_beta 100.87
_cell_angle_gamma 23.34
loop_
_atom_site_label
_atom_site_fract_x
_atom_site_fract_y
_atom_site_fract_z
La1 0.019 0.019 0.257
La2 0.189 0.189 0.093
La3 0.373 0.373 0.355
La4 0.627 0.627 0.645
La5 0.811 0.811 0.907
La6 0.981 0.981 0.743
Ga1 0.226 0.226 0.555
Ga2 0.774 0.774 0.445
O1 0.303 0.303 0.054
O2 0.697 0.697 0.946
```

***

Record 7
A plane-wave DFT calculation with PBE-GGA was carried out for a relaxed TlRe2 crystal.

Properties
Its energy relative to the lowest polymorph listed for this composition is 352 meV/atom. The formation energy is 20.60 kcal/mol of atoms. The value obtained for the density of states at the Fermi level is 2.27 states/eV/cell.

Geometry as CIF:
```
data_TlRe2
_symmetry_space_group_name_H-M 'P 1'
_symmetry_Int_Tables_number 1
_symmetry_space_group_name_Hall 'P 1'
_cell_length_a 4.513
_cell_length_b 4.513
_cell_length_c 6.291
_cell_angle_alpha 90.00
_cell_angle_beta 90.00
_cell_angle_gamma 120.00
loop_
_atom_site_label
_atom_site_fract_x
_atom_site_fract_y
_atom_site_fract_z
Tl1 0.000 0.000 0.250
Tl2 0.000 0.000 0.750
Re1 0.333 0.667 0.052
Re2 0.333 0.667 0.448
Re3 0.667 0.333 0.552
Re4 0.667 0.333 0.948
```

***

Record 8
A plane-wave DFT calculation with PBE-GGA was carried out for a relaxed Rb6H2Br3F crystal.

Properties
The value obtained for the density of states at the Fermi level is 0.00 states/eV/cell. As for the total energy: -35.5 eV per formula unit.

Geometry as CIF:
```
data_Rb6H2Br3F
_symmetry_space_group_name_H-M 'P 1'
_symmetry_Int_Tables_number 1
_symmetry_space_group_name_Hall 'P 1'
_cell_length_a 10.316
_cell_length_b 10.316
_cell_length_c 9.264
_cell_angle_alpha 103.96
_cell_angle_beta 103.96
_cell_angle_gamma 25.61
loop_
_atom_site_label
_atom_site_fract_x
_atom_site_fract_y
_atom_site_fract_z
Rb1 0.006 0.006 0.223
Rb2 0.326 0.326 0.435
Rb3 0.345 0.345 0.903
Rb4 0.655 0.655 0.097
Rb5 0.674 0.674 0.565
Rb6 0.994 0.994 0.777
H1 0.164 0.164 0.329
H2 0.836 0.836 0.671
Br1 0.168 0.168 0.834
Br2 0.500 0.500 0.500
Br3 0.832 0.832 0.166
F1 0.500 0.500 0.000
```

***

Record 9
A plane-wave DFT calculation with PBE-GGA was carried out for a relaxed Th4TcPd crystal.

Properties
Its energy relative to the lowest polymorph listed for this composition is 175 meV/atom. The formation energy is -3.64 kcal/mol of atoms. The value obtained for the density of states at the Fermi level is 13.51 states/eV/cell.

Geometry as CIF:
```
data_Th4TcPd
_symmetry_space_group_name_H-M 'P 1'
_symmetry_Int_Tables_number 1
_symmetry_space_group_name_Hall 'P 1'
_cell_length_a 7.236
_cell_length_b 6.774
_cell_length_c 7.348
_cell_angle_alpha 90.00
_cell_angle_beta 100.00
_cell_angle_gamma 90.00
loop_
_atom_site_label
_atom_site_fract_x
_atom_site_fract_y
_atom_site_fract_z
Th1 0.154 0.157 0.363
Th2 0.154 0.343 0.863
Th3 0.342 0.666 0.287
Th4 0.342 0.834 0.787
Th5 0.658 0.166 0.213
Th6 0.658 0.334 0.713
Th7 0.846 0.657 0.137
Th8 0.846 0.843 0.637
Tc1 0.500 0.000 0.500
Tc2 0.500 0.500 0.000
Pd1 0.000 0.000 0.000
Pd2 0.000 0.500 0.500
```

***

Record 10
A plane-wave DFT calculation with PBE-GGA was carried out for a relaxed CaTl2Ru crystal.

Properties
The formation energy is 8.35 kcal/mol of atoms. The value obtained for the density of states at the Fermi level is 16.40 states/eV/cell.

Geometry as CIF:
```
data_CaTl2Ru
_symmetry_space_group_name_H-M 'P 1'
_symmetry_Int_Tables_number 1
_symmetry_space_group_name_Hall 'P 1'
_cell_length_a 7.195
_cell_length_b 7.195
_cell_length_c 7.195
_cell_angle_alpha 90.00
_cell_angle_beta 90.00
_cell_angle_gamma 90.00
loop_
_atom_site_label
_atom_site_fract_x
_atom_site_fract_y
_atom_site_fract_z
Ca1 0.000 0.000 0.000
Ca2 0.000 0.500 0.500
Ca3 0.500 0.000 0.500
Ca4 0.500 0.500 0.000
Tl1 0.000 0.000 0.500
Tl2 0.000 0.500 0.000
Tl3 0.250 0.250 0.750
Tl4 0.250 0.750 0.250
Tl5 0.500 0.000 0.000
Tl6 0.500 0.500 0.500
Tl7 0.750 0.250 0.250
Tl8 0.750 0.750 0.750
Ru1 0.250 0.250 0.250
Ru2 0.250 0.750 0.750
Ru3 0.750 0.250 0.750
Ru4 0.750 0.750 0.250
```

***

Record 11
A plane-wave DFT calculation with PBE-GGA was carried out for a relaxed Ac2TmTl4 crystal.

Properties
Its energy relative to the lowest polymorph listed for this composition is 227 meV/atom. The formation energy is -0.86 kcal/mol of atoms. The value obtained for the density of states at the Fermi level is 10.57 states/eV/cell.

Geometry as CIF:
```
data_Ac2TmTl4
_symmetry_space_group_name_H-M 'P 1'
_symmetry_Int_Tables_number 1
_symmetry_space_group_name_Hall 'P 1'
_cell_length_a 6.584
_cell_length_b 16.048
_cell_length_c 4.903
_cell_angle_alpha 90.00
_cell_angle_beta 90.00
_cell_angle_gamma 90.00
loop_
_atom_site_label
_atom_site_fract_x
_atom_site_fract_y
_atom_site_fract_z
Ac1 0.000 0.131 0.000
Ac2 0.000 0.869 0.000
Ac3 0.500 0.369 0.000
Ac4 0.500 0.631 0.000
Tm1 0.000 0.500 0.500
Tm2 0.500 0.000 0.500
Tl1 0.000 0.276 0.500
Tl2 0.000 0.389 0.000
Tl3 0.000 0.611 0.000
Tl4 0.000 0.724 0.500
Tl5 0.500 0.111 0.000
Tl6 0.500 0.224 0.500
Tl7 0.500 0.776 0.500
Tl8 0.500 0.889 0.000
```

***

Record 12
A plane-wave DFT calculation with PBE-GGA was carried out for a relaxed KBaMo2 crystal.

Properties
Its energy relative to the lowest polymorph listed for this composition is 808 meV/atom. The formation energy is 36.49 kcal/mol of atoms. The value obtained for the density of states at the Fermi level is 15.43 states/eV/cell.

Geometry as CIF:
```
data_KBaMo2
_symmetry_space_group_name_H-M 'P 1'
_symmetry_Int_Tables_number 1
_symmetry_space_group_name_Hall 'P 1'
_cell_length_a 7.454
_cell_length_b 7.454
_cell_length_c 7.454
_cell_angle_alpha 90.00
_cell_angle_beta 90.00
_cell_angle_gamma 90.00
loop_
_atom_site_label
_atom_site_fract_x
_atom_site_fract_y
_atom_site_fract_z
K1 0.000 0.000 0.000
K2 0.000 0.500 0.500
K3 0.500 0.000 0.500
K4 0.500 0.500 0.000
Ba1 0.250 0.250 0.750
Ba2 0.250 0.750 0.250
Ba3 0.750 0.250 0.250
Ba4 0.750 0.750 0.750
Mo1 0.000 0.000 0.500
Mo2 0.000 0.500 0.000
Mo3 0.250 0.250 0.250
Mo4 0.250 0.750 0.750
Mo5 0.500 0.000 0.000
Mo6 0.500 0.500 0.500
Mo7 0.750 0.250 0.750
Mo8 0.750 0.750 0.250
```